(1)
Material: SiAsRu2Au
Method: DFT, GGA-PBEsol
State: relaxed Values from VASP.

The structure in Quantum ESPRESSO input format:
```
&SYSTEM
  ibrav = 0, nat = 5, ntyp = 4
/
ATOMIC_SPECIES
Au 196.97 Au.upf
Si 28.09 Si.upf
Ru 101.07 Ru.upf
As 74.92 As.upf
CELL_PARAMETERS angstrom
-3.1491 -3.0553 -0.8713
0.6434 -1.8145 4.0379
-3.1930 2.7885 1.7618
ATOMIC_POSITIONS crystal
Au 0.5000 0.5000 0.5000
Si 0.0000 0.0000 0.5000
Ru 0.5000 0.0000 0.0000
As 0.0000 0.0000 0.0000
Ru 0.0000 0.5000 0.0000
```

Properties
SG   No. 123
Uncorrected formation energy   1.163 eV/atom


(2)
Material: SrAgIr2
Method: DFT, GGA-PBEsol
State: relaxed Values from VASP.

The structure in Quantum ESPRESSO input format:
```
&SYSTEM
  ibrav = 0, nat = 4, ntyp = 3
/
ATOMIC_SPECIES
Ag 107.87 Ag.upf
Ir 192.22 Ir.upf
Sr 87.62 Sr.upf
CELL_PARAMETERS angstrom
-1.1383 -3.4830 2.9168
0.7586 -4.4479 -1.2552
3.3652 -2.4858 2.1049
ATOMIC_POSITIONS crystal
Ag 0.5000 0.5000 0.5000
Ir 0.2500 0.2500 0.2500
Sr 0.7500 0.7500 0.7500
Ir 0.0000 0.0000 0.0000
```

Properties
SG   No. 216
Calculated formation energy   0.561 eV per atom